The following is a DFT calculation (GGA-PBE) of a geometry-optimized La4SnIr structure.

Lattice parameters (Å, degrees): 8.6857 8.6857 8.1686 105.11 105.11 40.49
Fractional coordinates of all 12 atoms:
La (0.0710, 0.7760, 0.5609)
La (0.1916, 0.4482, 0.8616)
La (0.2240, 0.9290, 0.9391)
La (0.4482, 0.1916, 0.3616)
La (0.5518, 0.8084, 0.6384)
La (0.7760, 0.0710, 0.0609)
La (0.8084, 0.5518, 0.1384)
La (0.9290, 0.2240, 0.4391)
Sn (0.3583, 0.6417, 0.2500)
Sn (0.6417, 0.3583, 0.7500)
Ir (0.0000, 0.5000, 0.5000)
Ir (0.5000, 0.0000, 0.0000)

Results
Energy of formation from the pure elements, eV/atom: -0.56
Distance to the lowest polymorph of the same formula, meV/atom: 34
SG: C2/c (15)
DOS at the Fermi energy, states/eV/cell: 10.589
Total magnetic moment, μB/cell: 0.0